[1]
Crystalline Hf2FeSi at its relaxed geometry. Source: the Alexandria database, functional PBE.

The structure in POSCAR format:
```
Hf2FeSi
1.0
-1.5134 -5.0340 0.2877
3.1469 -0.4265 -4.2071
2.6718 0.4579 4.9918
Si Hf Fe
2 4 2
direct
0.2554 0.5890 0.7645
0.2896 0.0523 0.1502
0.6940 0.3659 0.6067
0.1296 0.9976 0.5974
0.5400 0.6271 0.2248
0.7280 0.0244 0.9592
0.0867 0.4251 0.3262
0.9847 0.6334 0.0701
```

Space group: P1 (1)
Spin magnetization, μB per formula unit: 0.000
Density, g cm⁻³: 10.711
Formation energy without anion corrections, meV per atom: -358
E, eV for the cell shown: -70.4


[2]
Crystalline Cd2SnHg2 at its relaxed geometry. Source: the Alexandria database, functional PBE.

The structure in POSCAR format:
```
Cd2SnHg2
1.0
-4.7780 -6.8307 0.5102
2.5352 -2.3414 -7.6052
2.7719 -1.8279 1.4867
Cd Hg Sn
4 4 2
direct
0.3696 0.8696 0.0000
0.8696 0.6304 0.0000
0.6304 0.1304 0.0000
0.1304 0.3696 0.0000
0.1696 0.6696 0.5000
0.6696 0.8304 0.5000
0.8304 0.3304 0.5000
0.3304 0.1696 0.5000
0.0000 0.0000 0.0000
0.5000 0.5000 0.0000
```

Energy above the most stable polymorph in this dataset, meV/atom: 29
Space group: P4/mbm (127)
Spin magnetization, μB per formula unit: 0.000
ΔE_f, eV/f.u.: 0.38
Density, g cm⁻³: 9.747
E, eV for the cell shown: -12.1


[3]
Crystalline LiCuGeRu at its relaxed geometry. Source: the Alexandria database, functional PBE.

The structure in POSCAR format:
```
LiCuGeRu
1.0
4.2061 0.0000 0.0000
2.1030 3.6426 0.0000
2.1030 1.2142 3.4343
Ru Ge Cu Li
1 1 1 1
direct
0.2500 0.2500 0.2500
0.5000 0.5000 0.5000
0.0000 0.0000 0.0000
0.7500 0.7500 0.7500
```

Energy above the most stable polymorph in this dataset, meV/atom: 0
Space group: F-43m (216)
Spin magnetization, μB per formula unit: 0.000
ΔE_f, eV/f.u.: -0.72
Density, g cm⁻³: 7.707
E, eV for the cell shown: -20.6


[4]
Crystalline Tb5YEr at its relaxed geometry. Source: the Alexandria database, functional PBE.

The structure in POSCAR format:
```
Tb5YEr
1.0
-0.4978 -5.4415 -1.9534
-0.1296 -5.2253 5.9697
-7.1987 -2.9770 1.5081
Tb Y Er
5 1 1
direct
0.5000 0.1779 0.8221
0.5000 0.8221 0.1779
0.7452 0.2548 0.2548
0.2548 0.7452 0.7452
0.0000 0.5000 0.5000
0.0000 0.0000 0.0000
0.5000 0.5000 0.5000
```

Energy above the most stable polymorph in this dataset, meV/atom: 904
Space group: Immm (71)
Spin magnetization, μB per formula unit: 0.000
ΔE_f, eV/f.u.: 7.67
Density, g cm⁻³: 5.805
E, eV for the cell shown: -26.5


[5]
Crystalline BaLi2TbTl4 at its relaxed geometry. Source: the Alexandria database, functional PBE.

The structure in POSCAR format:
```
BaLi2TbTl4
1.0
4.9200 0.0000 0.0000
2.4600 4.2608 0.0000
2.4600 1.4203 10.9802
Ba Li Tb Tl
1 2 1 4
direct
0.0000 0.0000 0.0000
0.7712 0.7712 0.6863
0.2288 0.2288 0.3137
0.5000 0.5000 0.5000
0.4009 0.4009 0.7972
0.8788 0.8788 0.3635
0.1212 0.1212 0.6365
0.5991 0.5991 0.2028
```

Space group: R-3m (166)
Spin magnetization, μB per formula unit: 0.000
ΔE_f, eV/f.u.: -2.70
Density, g cm⁻³: 8.135
E, eV for the cell shown: -22.5


[6]
Crystalline Ba3TmAs2O8 at its relaxed geometry. Source: the Alexandria database, functional PBE.

The structure in POSCAR format:
```
Ba3TmAs2O8
1.0
6.2579 0.0000 0.0000
-3.1289 5.4195 0.0000
0.0000 0.0000 7.5200
Ba Tm As O
3 1 2 8
direct
0.3333 0.6667 0.7205
0.6667 0.3333 0.2795
0.0000 0.0000 0.0000
0.0000 0.0000 0.5000
0.3333 0.6667 0.2789
0.6667 0.3333 0.7211
0.3333 0.6667 0.0449
0.6667 0.3333 0.9551
0.1548 0.8452 0.3032
0.8452 0.1548 0.6968
0.1548 0.3095 0.3032
0.8452 0.6905 0.6968
0.6905 0.8452 0.3032
0.3095 0.1548 0.6968
```

Space group: P-3m1 (164)
Spin magnetization, μB per formula unit: 1.017
Density, g cm⁻³: 5.591
Formation energy without anion corrections, meV per atom: -2176
E, eV for the cell shown: -89.7


[7]
Crystalline Zr2SiTeS at its relaxed geometry. Source: the Alexandria database, functional PBE.

The structure in POSCAR format:
```
Zr2SiTeS
1.0
-1.6677 1.2223 4.5342
-2.7145 -3.4042 -0.0807
3.5218 -2.8573 2.0656
S Te Si Zr
1 1 1 2
direct
0.0000 0.0000 0.0000
0.5000 0.5000 0.5000
0.0000 0.5000 0.0000
0.0000 0.0000 0.5000
0.5000 0.0000 0.0000
```

Energy above the most stable polymorph in this dataset, meV/atom: 0
Space group: P4/mmm (123)
Spin magnetization, μB per formula unit: 0.000
Density, g cm⁻³: 5.684
Formation energy without anion corrections, meV per atom: -164
E, eV for the cell shown: -30.6


[8]
Crystalline BeTe2SeI at its relaxed geometry. Source: the Alexandria database, functional PBE.

The structure in POSCAR format:
```
BeTe2SeI
1.0
5.5438 0.0000 0.0000
0.0000 5.5438 0.0000
0.0000 0.0000 5.5653
I Be Te Se
1 1 2 1
direct
0.0000 0.0000 0.5000
0.5000 0.5000 0.5000
0.0000 0.5000 0.0000
0.5000 0.0000 0.0000
0.0000 0.0000 0.0000
```

Energy above the most stable polymorph in this dataset, meV/atom: 482
Space group: P4/mmm (123)
Spin magnetization, μB per formula unit: 0.000
Density, g cm⁻³: 4.564
Formation energy without anion corrections, meV per atom: 949
E, eV for the cell shown: -10.3


Q: Among the records above, which one has the lowest E?
A: Ba3TmAs2O8


Q: Among the records above, which one has the highest E?
A: BeTe2SeI


Q: Which value of density does entry 2 give?
A: 9.747 g cm⁻³


Q: Among the records above, which one has the highest density?
A: Hf2FeSi